DFT (PBE) results for an optimized crystal structure of K2OsRuO6.

a = 3.932 Å, b = 5.574 Å, c = 5.574 Å
α = 90.00°, β = 90.00°, γ = 90.00°
Site moments in Bohr magnetons follow the coordinates.
Positions (direct):
O 0.145 0.500 0.500  0.11
O 0.645 0.244 0.756  0.04
O 0.645 0.756 0.244  0.04
O 0.645 0.756 0.756  0.04
O 0.645 0.244 0.244  0.04
O 0.145 0.000 0.000  0.01
K 0.145 0.500 0.000  0.00
K 0.145 0.000 0.500  0.00
Os 0.645 0.000 0.000  0.13
Ru 0.645 0.500 0.500  0.52

Values from the calculation:
D(E_F)   0.718 states/eV/atom
Formation energy without anion corrections   -1.18 eV/atom
ρ   6.33 Mg/m³
Volume   122.1 Å³/cell
E   -6.426 eV per atom

DFT (PBE) results for an optimized crystal structure of PrNd12Sm7.

a = 10.086 Å, b = 10.086 Å, c = 10.086 Å
α = 109.47°, β = 109.47°, γ = 109.47°
Positions (direct):
Nd 0.251 0.999 0.748
Nd 0.251 0.503 0.252
Nd 0.503 0.252 0.251
Nd 0.749 0.497 0.748
Nd 0.748 0.251 0.999
Nd 0.749 0.001 0.252
Nd 0.252 0.251 0.503
Nd 0.999 0.748 0.251
Nd 0.748 0.749 0.497
Nd 0.252 0.749 0.001
Nd 0.001 0.252 0.749
Nd 0.497 0.748 0.749
Sm 0.500 0.000 0.500
Sm 0.500 0.500 0.000
Sm 0.500 0.000 0.000
Sm 0.000 0.500 0.500
Sm 0.000 0.000 0.500
Sm 0.500 0.500 0.500
Sm 0.000 0.500 0.000
Pr 0.000 0.000 0.000

Values from the calculation:
D(E_F)   1.298 states/eV/atom
ρ   6.15 Mg/m³
Volume   789.7 Å³/cell
Energy of formation   0.607 eV/atom
E   -4.144 eV per atom

DFT (PBE) results for an optimized crystal structure of BeCd2Pt.

a = 7.296 Å, b = 7.296 Å, c = 5.778 Å
α = 50.85°, β = 50.85°, γ = 90.00°
Positions (direct):
Cd 0.875 0.838 0.750
Cd 0.588 0.125 0.250
Cd 0.375 0.412 0.750
Cd 0.162 0.625 0.250
Be 0.250 0.750 0.500
Be 0.500 0.500 0.000
Pt 0.750 0.250 0.500
Pt 0.000 0.000 0.000

Values from the calculation:
D(E_F)   0.259 states/eV/atom
ρ   10.28 Mg/m³
Volume   138.5 Å³/cell
Energy of formation   0.248 eV/atom
E   -2.651 eV per atom

DFT (PBE) results for an optimized crystal structure of Tm6Tl2Te.

a = 3.863 Å, b = 8.627 Å, c = 8.626 Å
α = 120.01°, β = 90.00°, γ = 90.00°
Site moments in Bohr magnetons follow the coordinates.
Positions (direct):
Tm 0.000 0.277 0.000  0.11
Tm 0.500 0.614 0.000  0.11
Tm 0.000 0.000 0.276  0.11
Tm 0.500 0.386 0.387  0.11
Tm 0.000 0.723 0.724  0.11
Tm 0.500 0.000 0.613  0.11
Te 0.500 0.000 0.000  0.00
Tl 0.000 0.333 0.667  0.01
Tl 0.000 0.667 0.333  0.01

Values from the calculation:
D(E_F)   1.237 states/eV/atom
Formation energy without anion corrections   -0.41 eV/atom
ρ   10.34 Mg/m³
Volume   248.9 Å³/cell
E   -4.267 eV per atom